Density functional theory data (PBE) for crystalline ReNiSe3 at its relaxed geometry.

Computed properties:
The calculation puts the formation energy without anion corrections at 25.22 kcal/mol of atoms. As for the offset from the most stable computed form: 1221.1 meV per atom. Its space group is Pm-3m, No. 221. As for the magnetic moment: 2.96 μB/cell.

a b c (Å): 4.628 4.628 4.628
angles (deg): 90.00 90.00 90.00
Last column: magnetic moment on the atom in μB.
Element x y z (fractional)
Re: 0.500 0.500 0.500  2.98
Se: 0.000 0.000 0.500  -0.08
Ni: 0.000 0.000 0.000  -0.05
Se: 0.500 0.000 0.000  -0.13
Se: 0.000 0.500 0.000  -0.20


Density functional theory data (PBE) for crystalline Re2NiSe at its relaxed geometry.

Computed properties:
The calculation puts the formation energy without anion corrections at 6.28 kcal/mol of atoms. Its space group is P4mm, No. 99. As for the magnetic moment: 0.00 μB/cell.

a b c (Å): 2.950 2.950 6.582
angles (deg): 90.00 90.00 90.00
Element x y z (fractional)
Se: 0.000 0.000 0.517
Re: 0.000 0.000 0.997
Ni: 0.500 0.500 0.735
Re: 0.500 0.500 0.252


Density functional theory data (PBE) for crystalline ReNiSe2 at its relaxed geometry.

Computed properties:
The calculation puts the formation energy without anion corrections at 13.82 kcal/mol of atoms. As for the offset from the most stable computed form: 555.0 meV per atom. Its space group is Cmmm, No. 65. As for the magnetic moment: 0.00 μB/cell.

a b c (Å): 5.762 5.762 2.636
angles (deg): 62.77 62.77 89.71
Element x y z (fractional)
Se: 0.000 0.000 0.000
Se: 0.500 0.500 0.000
Ni: 0.500 0.000 0.500
Re: 0.000 0.500 0.500


Density functional theory data (PBE) for crystalline Re2NiSe at its relaxed geometry.

Computed properties:
The calculation puts the formation energy without anion corrections at 10.17 kcal/mol of atoms. Its space group is C2/m, No. 12. As for the magnetic moment: 0.00 μB/cell.

a b c (Å): 4.843 4.843 4.363
angles (deg): 85.74 85.74 35.94
Element x y z (fractional)
Re: 0.532 0.532 0.473
Re: 0.968 0.968 0.027
Ni: 0.250 0.250 0.250
Se: 0.750 0.750 0.750


Density functional theory data (PBE) for crystalline Re2NiSe at its relaxed geometry.

Computed properties:
The calculation puts the formation energy without anion corrections at 14.54 kcal/mol of atoms. Its space group is Pmmm, No. 47. As for the magnetic moment: 0.00 μB/cell.

a b c (Å): 3.006 4.364 4.512
angles (deg): 90.00 90.00 90.00
Element x y z (fractional)
Re: 0.000 0.000 0.000
Se: 0.500 0.000 0.500
Re: 0.500 0.500 0.000
Ni: 0.000 0.500 0.500


Density functional theory data (PBE) for crystalline Re2NiSe5 at its relaxed geometry.

Computed properties:
The calculation puts the formation energy without anion corrections at 3.38 kcal/mol of atoms. Its space group is Cm, No. 8. As for the magnetic moment: 0.00 μB/cell.

a b c (Å): 5.368 6.933 6.966
angles (deg): 60.15 65.00 90.00
Element x y z (fractional)
Se: 0.294 0.294 0.934
Re: 0.943 0.378 0.244
Se: 0.615 0.074 0.318
Ni: 0.977 0.931 0.138
Se: 0.615 0.608 0.318
Se: 0.953 0.187 0.627
Re: 0.531 0.979 0.041
Se: 0.294 0.772 0.934